No. 1
# YMg6B PBE-GGA optimized geometry
data_YMg6B
_symmetry_space_group_name_H-M 'A m m 2'
_symmetry_Int_Tables_number 38
_cell_length_a 4.557
_cell_length_b 5.699
_cell_length_c 13.200
_cell_angle_alpha 90.00
_cell_angle_beta 90.00
_cell_angle_gamma 90.00
loop_
_symmetry_equiv_pos_as_xyz
'x,y,z'
'-x,-y,z'
'-x,y,z'
'x,-y,z'
'x,y+1/2,z+1/2'
'-x,-y+1/2,z+1/2'
'-x,y+1/2,z+1/2'
'x,-y+1/2,z+1/2'
loop_
_atom_site_label
_atom_site_type_symbol
_atom_site_fract_x
_atom_site_fract_y
_atom_site_fract_z
Y1 Y 0.000 0.000 0.000
Mg1 Mg 0.000 0.247 0.751
Mg2 Mg 0.500 0.000 0.161
Mg3 Mg 0.500 0.000 0.592
Mg4 Mg 0.500 0.239 0.387
B1 B 0.000 0.000 0.419
# ΔH_f (0 K)   228 meV per atom
# DFT total energy   -41.8 eV/cell
# Fermi-level density of states   0.292 states/eV per atom

=====

No. 2
# KPdAuO2 PBE-GGA optimized geometry
data_KPdAuO2
_symmetry_space_group_name_H-M 'C m m e'
_symmetry_Int_Tables_number 67
_symmetry_space_group_name_Hall '-C 2a 2'
_cell_length_a 6.788
_cell_length_b 12.380
_cell_length_c 4.604
_cell_angle_alpha 90.00
_cell_angle_beta 90.00
_cell_angle_gamma 90.00
loop_
_atom_site_label
_atom_site_type_symbol
_atom_site_fract_x
_atom_site_fract_y
_atom_site_fract_z
K1 K 0.000 0.250 0.238
Pd1 Pd 0.250 0.000 0.500
Au1 Au 0.000 0.000 0.000
O1 O 0.000 0.098 0.635
# DFT total energy   -86.8 eV/cell
# Uncorrected formation energy   -442.3 meV per atom
# Fermi-level density of states   0.487 states/eV per atom

=====

No. 3
# CsHg3As PBE-GGA optimized geometry
data_CsHg3As
_symmetry_space_group_name_H-M 'P m -3 m'
_symmetry_Int_Tables_number 221
_symmetry_space_group_name_Hall '-P 4 2 3'
_cell_length_a 7.019
_cell_length_b 7.019
_cell_length_c 7.019
_cell_angle_alpha 90.00
_cell_angle_beta 90.00
_cell_angle_gamma 90.00
loop_
_atom_site_label
_atom_site_type_symbol
_atom_site_fract_x
_atom_site_fract_y
_atom_site_fract_z
Cs1 Cs 0.000 0.000 0.000
Hg1 Hg 0.000 0.000 0.500
As1 As 0.500 0.500 0.500
# ΔH_f (0 K)   571 meV per atom
# DFT total energy   -3.6 eV/cell
# Fermi-level density of states   1.749 states/eV per atom

=====

No. 4
# MnAgSn PBE-GGA optimized geometry
data_MnAgSn
_symmetry_space_group_name_H-M 'P 3 m 1'
_symmetry_Int_Tables_number 156
_cell_length_a 4.6447
_cell_length_b 4.6447
_cell_length_c 3.0722
_cell_angle_alpha 90.00
_cell_angle_beta 90.00
_cell_angle_gamma 120.00
loop_
_symmetry_equiv_pos_as_xyz
'x,y,z'
'-y,x-y,z'
'-x+y,-x,z'
'-y,-x,z'
'-x+y,y,z'
'x,x-y,z'
loop_
_atom_site_label
_atom_site_type_symbol
_atom_site_fract_x
_atom_site_fract_y
_atom_site_fract_z
Mn1 Mn 0.0000 0.0000 0.0000
Ag1 Ag 0.6667 0.3333 0.3956
Sn1 Sn 0.3333 0.6667 0.6151
# ΔH_f (0 K)   236 meV per atom
# DFT total energy   -15.3 eV/cell
# Fermi-level density of states   0.538 states/eV per atom

=====

No. 5
# Cs2ReSeCl6 PBE-GGA optimized geometry
data_Cs2ReSeCl6
_symmetry_space_group_name_H-M 'I 4/m m m'
_symmetry_Int_Tables_number 139
_symmetry_space_group_name_Hall '-I 4 2'
_cell_length_a 7.696
_cell_length_b 7.696
_cell_length_c 11.812
_cell_angle_alpha 90.00
_cell_angle_beta 90.00
_cell_angle_gamma 90.00
loop_
_atom_site_label
_atom_site_type_symbol
_atom_site_fract_x
_atom_site_fract_y
_atom_site_fract_z
Cs1 Cs 0.000 0.500 0.250
Re1 Re 0.000 0.000 0.000
Se1 Se 0.000 0.000 0.500
Cl1 Cl 0.000 0.000 0.202
Cl2 Cl 0.219 0.219 0.000
# DFT total energy   -76.0 eV/cell
# Uncorrected formation energy   -930.1 meV per atom
# Fermi-level density of states   0.035 states/eV per atom

=====

No. 6
# KRb2I6Cl PBE-GGA optimized geometry
data_KRb2I6Cl
_symmetry_space_group_name_H-M 'I 4/m m m'
_symmetry_Int_Tables_number 139
_symmetry_space_group_name_Hall '-I 4 2'
_cell_length_a 9.289
_cell_length_b 9.289
_cell_length_c 11.974
_cell_angle_alpha 90.00
_cell_angle_beta 90.00
_cell_angle_gamma 90.00
loop_
_atom_site_label
_atom_site_type_symbol
_atom_site_fract_x
_atom_site_fract_y
_atom_site_fract_z
K1 K 0.000 0.000 0.000
Rb1 Rb 0.000 0.500 0.250
I1 I 0.000 0.000 0.280
I2 I 0.248 0.248 0.500
Cl1 Cl 0.000 0.000 0.500
# DFT total energy   -40.3 eV/cell
# Uncorrected formation energy   -596.2 meV per atom
# Fermi-level density of states   0.465 states/eV per atom

=====

No. 7
# PmHoIn2Se4 PBE-GGA optimized geometry
data_PmHoIn2Se4
_symmetry_space_group_name_H-M 'P 1 2/m 1'
_symmetry_Int_Tables_number 10
_cell_length_a 7.267
_cell_length_b 4.194
_cell_length_c 8.105
_cell_angle_alpha 90.00
_cell_angle_beta 107.36
_cell_angle_gamma 90.00
loop_
_symmetry_equiv_pos_as_xyz
'x,y,z'
'-x,-y,-z'
'-x,y,-z'
'x,-y,z'
loop_
_atom_site_label
_atom_site_type_symbol
_atom_site_fract_x
_atom_site_fract_y
_atom_site_fract_z
Pm1 Pm 0.000 0.000 0.000
Ho1 Ho 0.500 0.500 0.000
In1 In 0.000 0.500 0.500
In2 In 0.500 0.000 0.500
Se1 Se 0.244 0.500 0.212
Se2 Se 0.271 0.000 0.791
# DFT total energy   -39.1 eV/cell
# Uncorrected formation energy   -1294.5 meV per atom

=====

No. 8
# Tm4InAg2Rh PBE-GGA optimized geometry
data_Tm4InAg2Rh
_symmetry_space_group_name_H-M 'R -3 m'
_symmetry_Int_Tables_number 166
_symmetry_space_group_name_Hall '-R 3 2"'
_cell_length_a 5.0563
_cell_length_b 5.0563
_cell_length_c 24.5938
_cell_angle_alpha 90.00
_cell_angle_beta 90.00
_cell_angle_gamma 120.00
loop_
_atom_site_label
_atom_site_type_symbol
_atom_site_fract_x
_atom_site_fract_y
_atom_site_fract_z
Tm1 Tm 0.0000 0.0000 0.1149
Tm2 Tm 0.0000 0.0000 0.3680
In1 In 0.0000 0.0000 0.5000
Ag1 Ag 0.0000 0.0000 0.2420
Rh1 Rh 0.0000 0.0000 0.0000
# ΔH_f (0 K)   -541 meV per atom
# DFT total energy   -114.0 eV/cell
# Fermi-level density of states   0.413 states/eV per atom

=====

No. 9
# Ac2PaTiN5 PBE-GGA optimized geometry
data_Ac2PaTiN5
_symmetry_space_group_name_H-M 'C m c 21'
_symmetry_Int_Tables_number 36
_cell_length_a 3.613
_cell_length_b 14.595
_cell_length_c 11.044
_cell_angle_alpha 90.00
_cell_angle_beta 90.00
_cell_angle_gamma 90.00
loop_
_symmetry_equiv_pos_as_xyz
'x,y,z'
'-x,-y,z+1/2'
'-x,y,z'
'x,-y,z+1/2'
'x+1/2,y+1/2,z'
'-x+1/2,-y+1/2,z+1/2'
'-x+1/2,y+1/2,z'
'x+1/2,-y+1/2,z+1/2'
loop_
_atom_site_label
_atom_site_type_symbol
_atom_site_fract_x
_atom_site_fract_y
_atom_site_fract_z
Ac1 Ac 0.000 0.108 0.000
Ac2 Ac 0.000 0.133 0.600
Pa1 Pa 0.000 0.210 0.311
Ti1 Ti 0.000 0.491 0.771
N1 N 0.000 0.049 0.331
N2 N 0.000 0.282 0.941
N3 N 0.000 0.302 0.687
N4 N 0.000 0.376 0.310
N5 N 0.000 0.495 0.101
# DFT total energy   -320.8 eV/cell
# Uncorrected formation energy   -1441.2 meV per atom

=====

No. 10
# TaOsC2 PBE-GGA optimized geometry
data_TaOsC2
_symmetry_space_group_name_H-M 'I -4 2 d'
_symmetry_Int_Tables_number 122
_symmetry_space_group_name_Hall 'I -4 2bw'
_cell_length_a 4.654
_cell_length_b 4.654
_cell_length_c 9.725
_cell_angle_alpha 90.00
_cell_angle_beta 90.00
_cell_angle_gamma 90.00
loop_
_atom_site_label
_atom_site_type_symbol
_atom_site_fract_x
_atom_site_fract_y
_atom_site_fract_z
Ta1 Ta 0.000 0.000 0.000
Os1 Os 0.000 0.000 0.500
C1 C 0.227 0.250 0.625
# ΔH_f (0 K)   418 meV per atom
# DFT total energy   -159.4 eV/cell
# Fermi-level density of states   0.440 states/eV per atom

=====

No. 11
# CuRe2Pb PBE-GGA optimized geometry
data_CuRe2Pb
_symmetry_space_group_name_H-M 'I 4/m m m'
_symmetry_Int_Tables_number 139
_symmetry_space_group_name_Hall '-I 4 2'
_cell_length_a 3.853
_cell_length_b 3.853
_cell_length_c 8.948
_cell_angle_alpha 90.00
_cell_angle_beta 90.00
_cell_angle_gamma 90.00
loop_
_atom_site_label
_atom_site_type_symbol
_atom_site_fract_x
_atom_site_fract_y
_atom_site_fract_z
Cu1 Cu 0.000 0.000 0.000
Re1 Re 0.000 0.500 0.250
Pb1 Pb 0.000 0.000 0.500
# ΔH_f (0 K)   978 meV per atom
# DFT total energy   -57.6 eV/cell
# Fermi-level density of states   1.100 states/eV per atom

=====

No. 12
# VBRu2 PBE-GGA optimized geometry
data_VBRu2
_symmetry_space_group_name_H-M 'P 4/m m m'
_symmetry_Int_Tables_number 123
_symmetry_space_group_name_Hall '-P 4 2'
_cell_length_a 2.845
_cell_length_b 2.845
_cell_length_c 5.798
_cell_angle_alpha 90.00
_cell_angle_beta 90.00
_cell_angle_gamma 90.00
loop_
_atom_site_label
_atom_site_type_symbol
_atom_site_fract_x
_atom_site_fract_y
_atom_site_fract_z
V1 V 0.000 0.000 0.000
B1 B 0.000 0.000 0.500
Ru1 Ru 0.500 0.500 0.278
# ΔH_f (0 K)   -151 meV per atom
# DFT total energy   -35.0 eV/cell
# Fermi-level density of states   0.683 states/eV per atom

=====

Look up the DFT total energy of the second one. -86.8 eV/cell

=====

Copy entry 12 word for word.
# VBRu2 PBE-GGA optimized geometry
data_VBRu2
_symmetry_space_group_name_H-M 'P 4/m m m'
_symmetry_Int_Tables_number 123
_symmetry_space_group_name_Hall '-P 4 2'
_cell_length_a 2.845
_cell_length_b 2.845
_cell_length_c 5.798
_cell_angle_alpha 90.00
_cell_angle_beta 90.00
_cell_angle_gamma 90.00
loop_
_atom_site_label
_atom_site_type_symbol
_atom_site_fract_x
_atom_site_fract_y
_atom_site_fract_z
V1 V 0.000 0.000 0.000
B1 B 0.000 0.000 0.500
Ru1 Ru 0.500 0.500 0.278
# ΔH_f (0 K)   -151 meV per atom
# DFT total energy   -35.0 eV/cell
# Fermi-level density of states   0.683 states/eV per atom

=====

Please write out number 10 again, unchanged.
# TaOsC2 PBE-GGA optimized geometry
data_TaOsC2
_symmetry_space_group_name_H-M 'I -4 2 d'
_symmetry_Int_Tables_number 122
_symmetry_space_group_name_Hall 'I -4 2bw'
_cell_length_a 4.654
_cell_length_b 4.654
_cell_length_c 9.725
_cell_angle_alpha 90.00
_cell_angle_beta 90.00
_cell_angle_gamma 90.00
loop_
_atom_site_label
_atom_site_type_symbol
_atom_site_fract_x
_atom_site_fract_y
_atom_site_fract_z
Ta1 Ta 0.000 0.000 0.000
Os1 Os 0.000 0.000 0.500
C1 C 0.227 0.250 0.625
# ΔH_f (0 K)   418 meV per atom
# DFT total energy   -159.4 eV/cell
# Fermi-level density of states   0.440 states/eV per atom

=====

What is the DFT total energy in the fifth record? -76.0 eV/cell